# 1
Below is an optimized crystal structure of Pm4Dy7Sc, with properties calculated at the GGA-PBE level.

## Properties
* energy above the lowest structure with this stoichiometry: 191.9 meV/atom
* ΔH_f (0 K): 0.2844 eV/atom
* total DFT energy (no corrections): -108.27 eV per cell

abc: 11.8223 5.8134 12.9863
angles: 90.00 116.96 90.00
With the nearest neighbours (Å) after each atom.
Space group C2/m (No. 12)
Symmetry-distinct sites (fractional):
Pm 0.0844 0.0000 0.2951 [4 per cell]  4 Dy 3.25-3.58
Pm 0.1320 0.5000 0.7774 [4 per cell]  6 Dy 3.34-3.56, 2 Pm 3.70
Dy 0.0000 0.0000 0.0000 [2 per cell]  2 Sc 2.91, 2 Dy 3.17
Dy 0.1331 0.5000 0.4889 [4 per cell]  2 Pm 3.25-3.46, 4 Dy 3.29-3.44
Dy 0.1835 0.0000 0.6453 [4 per cell]  4 Dy 3.34-3.44, 3 Pm 3.56-3.58
Dy 0.2159 0.0000 0.9196 [4 per cell]  1 Sc 3.03, 1 Dy 3.17, 3 Pm 3.34-3.38
Sc 0.0000 0.5000 0.0000 [2 per cell]  4 Dy 2.91-3.03

# 2
Below is an optimized crystal structure of Li8PuS6, with properties calculated at the GGA-PBE level.

## Properties
* energy relative to the elements, uncorrected: -1.3400 eV/atom
* total DFT energy (no corrections): -223.52 eV per cell

abc: 6.8579 6.8579 19.1774
angles: 90.00 90.00 120.00
With the nearest neighbours (Å) after each atom.
Space group R-3 (No. 148, hexagonal axes)
Symmetry-distinct sites (fractional):
Li 0.0000 0.0000 0.1618 [6 per cell]  6 S 2.72-2.88
Li 0.0095 0.6563 0.3775 [18 per cell]  4 S 2.40-2.49
Pu 0.0000 0.0000 0.5000 [3 per cell]  6 S 2.69
S 0.0067 0.6820 0.5808 [18 per cell]  4 Li 2.40-2.49

# 3
Below is an optimized crystal structure of AgRh2Pb, with properties calculated at the GGA-PBE level.

## Properties
* ΔH_f (0 K): 0.2574 eV/atom
* total DFT energy (no corrections): -20.23 eV per cell

abc: 2.9938 3.8230 6.3534
angles: 90.00 90.00 90.00
With the nearest neighbours (Å) after each atom.
Space group Pmm2 (No. 25)
Symmetry-distinct sites (fractional):
Ag 0.0000 0.0000 0.0000 [1 per cell]  5 Rh 2.78-2.86, 2 Ag 2.99, 4 Pb 3.11
Rh 0.0000 0.0000 0.5622 [1 per cell]  6 Rh 2.74-2.99, 1 Ag 2.78, 4 Pb 2.93
Rh 0.5000 0.5000 0.7623 [1 per cell]  6 Rh 2.74-2.99, 4 Ag 2.86, 1 Pb 2.90
Pb 0.5000 0.5000 0.3052 [1 per cell]  5 Rh 2.90-2.93, 2 Pb 2.99, 4 Ag 3.11

# 4
Below is an optimized crystal structure of K5Na4In2, with properties calculated at the GGA-PBE level.

## Properties
* energy above the lowest structure with this stoichiometry: 0.0 meV/atom
* ΔH_f (0 K): -0.0055 eV/atom
* total DFT energy (no corrections): -32.60 eV per cell

abc: 21.1114 4.6524 11.3234
angles: 90.00 98.10 90.00
With the nearest neighbours (Å) after each atom.
Space group C2/m (No. 12)
Symmetry-distinct sites (fractional):
K 0.0000 0.0000 0.0000 [2 per cell]  4 Na 4.54, 10 K 4.65-4.77
K 0.1662 0.5000 0.2420 [4 per cell]  3 In 3.70-3.71, 1 Na 3.90
K 0.1699 0.5000 0.8534 [4 per cell]  1 In 3.66, 1 Na 3.89
Na 0.0029 0.5000 0.6570 [4 per cell]  5 Na 3.54-3.87, 2 K 3.89-3.90
Na 0.1180 0.0000 0.5318 [4 per cell]  3 In 3.28-3.55
In 0.2288 0.5000 0.5640 [4 per cell]  2 In 2.95, 2 Na 3.28

# 5
Below is an optimized crystal structure of SbMoI3, with properties calculated at the GGA-PBE level.

## Properties
* energy above the lowest structure with this stoichiometry: 0.0 meV/atom
* energy relative to the elements, uncorrected: 0.6110 eV/atom
* total DFT energy (no corrections): -16.55 eV per cell

abc: 5.6104 5.6104 5.6104
angles: 90.00 90.00 90.00
With the nearest neighbours (Å) after each atom.
Space group Pm-3m (No. 221)
Symmetry-distinct sites (fractional):
Sb 0.0000 0.0000 0.0000 [1 per cell]  12 I 3.97
Mo 0.5000 0.5000 0.5000 [1 per cell]  6 I 2.81
I 0.0000 0.5000 0.5000 [3 per cell]  2 Mo 2.81

# 6
Below is an optimized crystal structure of Ba4MgU3O12, with properties calculated at the GGA-PBE level.

## Properties
* energy relative to the elements, uncorrected: -3.0646 eV/atom
* total DFT energy (no corrections): -327.88 eV per cell

abc: 8.7322 8.7322 8.7322
angles: 90.00 90.00 90.00
With the nearest neighbours (Å) after each atom.
Space group Im-3m (No. 229)
Symmetry-distinct sites (fractional):
Ba 0.2500 0.2500 0.2500 [8 per cell]  12 O 3.09
Mg 0.0000 0.0000 0.0000 [2 per cell]  6 O 2.23
U 0.0000 0.0000 0.5000 [6 per cell]  6 O 2.13-2.18
O 0.0000 0.0000 0.2558 [12 per cell]  1 U 2.13, 1 Mg 2.23
O 0.0000 0.2500 0.5000 [12 per cell]  2 U 2.18

# 7
Below is an optimized crystal structure of Pm5S7, with properties calculated at the GGA-PBE level.

## Properties
* energy relative to the elements, uncorrected: -2.0609 eV/atom
* total DFT energy (no corrections): -154.75 eV per cell

abc: 13.2998 3.9274 11.8806
angles: 90.00 104.87 90.00
With the nearest neighbours (Å) after each atom.
Space group C2/m (No. 12)
Symmetry-distinct sites (fractional):
Pm 0.0000 0.0000 0.0000 [2 per cell]  6 S 2.76-2.84
Pm 0.1117 0.0000 0.4209 [4 per cell]  6 S 2.76-2.91
Pm 0.1995 0.5000 0.8110 [4 per cell]  7 S 2.82-3.03
S 0.0000 0.5000 0.5000 [2 per cell]  4 Pm 2.77
S 0.0429 0.0000 0.7849 [4 per cell]  4 Pm 2.76-2.82
S 0.1594 0.5000 0.0508 [4 per cell]  5 Pm 2.84-3.03
S 0.2401 0.5000 0.3514 [4 per cell]  5 Pm 2.86-3.00

# 8
Below is an optimized crystal structure of HoNpP2N6, with properties calculated at the GGA-PBE level.

## Properties
* energy relative to the elements, uncorrected: -0.8550 eV/atom
* total DFT energy (no corrections): -347.36 eV per cell

abc: 9.9875 9.5739 5.3530
angles: 90.00 104.90 90.00
With the nearest neighbours (Å) after each atom.
Space group C2/c (No. 15)
Symmetry-distinct sites (fractional):
Ho 0.0000 0.0948 0.2500 [4 per cell]  6 N 2.29-2.40
Np 0.0000 0.3106 0.7500 [4 per cell]  2 N 2.07
P 0.2095 0.4169 0.2530 [8 per cell]  4 N 1.62-1.70
N 0.1183 0.2808 0.1250 [8 per cell]  1 P 1.64
N 0.1249 0.1073 0.6727 [8 per cell]  1 P 1.62
N 0.1542 0.4624 0.5144 [8 per cell]  2 P 1.69-1.70